Entry 1:
Here is an optimized crystal structure of BeCoTc from Alexandria. Energies are from GGA-PBEsol.

Computed properties:
The formation energy comes out at -0.254 eV/atom. Its space group is Imma. For the relative energy among the computed polymorphs, the calculation gives 0 meV per atom.

Cell: 4.4092 4.4092 4.4092 Å, 120.22 117.60 91.91°
With the nearest neighbours (Å) after each atom.
Atoms (fractional coordinates):
Be1 0.5000 0.0000 0.0000  2 Be 2.20, 4 Co 2.20
Be2 0.5000 0.5000 0.5000  2 Be 2.20, 4 Co 2.20
Co1 0.0000 0.0000 0.0000  4 Be 2.20, 2 Co 2.28
Co2 0.5000 0.0000 0.5000  4 Be 2.20, 2 Co 2.28
Tc1 0.1275 0.3775 0.7500  6 Be 2.53-2.65, 6 Co 2.58-2.59, 4 Tc 2.70-2.73
Tc2 0.8725 0.6225 0.2500  6 Be 2.53-2.65, 6 Co 2.58-2.59, 4 Tc 2.70-2.73



Entry 2:
Here is an optimized crystal structure of Be3CoTc from Alexandria. Energies are from GGA-PBEsol.

Computed properties:
The formation energy comes out at 1.305 eV/atom. Its space group is Pm-3m.

Cell: 4.0386 4.0386 4.0386 Å, 90.00 90.00 90.00°
With the nearest neighbours (Å) after each atom.
Atoms (fractional coordinates):
Be1 0.0000 0.0000 0.5000  2 Tc 2.02
Be2 0.0000 0.5000 0.0000  2 Tc 2.02
Be3 0.5000 0.0000 0.0000  2 Tc 2.02
Co1 0.5000 0.5000 0.5000  12 Be 2.86
Tc1 0.0000 0.0000 0.0000  6 Be 2.02



Entry 3:
Here is an optimized crystal structure of Be2CoTc from Alexandria. Energies are from GGA-PBEsol.

Computed properties:
The formation energy comes out at -0.168 eV/atom. Its space group is P4/mmm. For the relative energy among the computed polymorphs, the calculation gives 0 meV per atom.

Cell: 2.6184 2.6184 5.6250 Å, 90.00 90.00 90.00°
With the nearest neighbours (Å) after each atom.
Atoms (fractional coordinates):
Be1 0.0000 0.0000 0.2063  4 Co 2.18, 1 Be 2.32
Be2 0.0000 0.0000 0.7937  4 Co 2.18, 1 Be 2.32
Co1 0.5000 0.5000 0.0000  8 Be 2.18
Tc1 0.5000 0.5000 0.5000  8 Be 2.48, 4 Tc 2.62



Entry 4:
Here is an optimized crystal structure of BeCo2Tc2 from Alexandria. Energies are from GGA-PBEsol.

Computed properties:
The formation energy comes out at 0.489 eV/atom. Its space group is I4/mmm.

Cell: 6.8081 6.8081 6.8081 Å, 153.94 153.94 37.19°
With the nearest neighbours (Å) after each atom.
Atoms (fractional coordinates):
Be1 0.0000 0.0000 0.0000  8 Tc 2.49
Co1 0.2500 0.7500 0.5000  4 Co 2.17
Co2 0.7500 0.2500 0.5000  4 Co 2.17
Tc1 0.4056 0.4056 0.0000  1 Tc 2.44, 4 Be 2.49, 4 Co 2.53
Tc2 0.5944 0.5944 0.0000  1 Tc 2.44, 4 Be 2.49, 4 Co 2.53



Entry 5:
Here is an optimized crystal structure of BeCo2Te from Alexandria. Energies are from GGA-PBEsol.

Computed properties:
As for the formation energy without anion corrections: 0.165 eV per atom. Its space group is Imm2.

Cell: 4.5758 4.5758 4.5758 Å, 134.86 134.78 65.81°
With the nearest neighbours (Å) after each atom.
Atoms (fractional coordinates):
Be1 0.0000 0.0000 0.0000  8 Co 2.49-2.61, 4 Te 2.60
Co1 0.2490 0.7490 0.5000  4 Te 2.49, 4 Be 2.60-2.61, 4 Co 2.60
Co2 0.4994 0.4994 0.0000  4 Be 2.49, 4 Co 2.60, 4 Te 2.60
Te1 0.7497 0.2497 0.5000  8 Co 2.49-2.60, 4 Be 2.60



Entry 6:
Here is an optimized crystal structure of Be2CoTe from Alexandria. Energies are from GGA-PBEsol.

Computed properties:
As for the formation energy without anion corrections: 0.366 eV per atom. Its space group is P4mm.

Cell: 3.2136 3.2136 4.9200 Å, 90.00 90.00 90.00°
With the nearest neighbours (Å) after each atom.
Atoms (fractional coordinates):
Be1 0.0000 0.0000 0.0000  2 Te 2.44-2.48, 4 Be 2.48, 4 Co 2.54
Be2 0.5000 0.5000 0.2006  1 Co 2.13
Co1 0.5000 0.5000 0.7676  1 Be 2.13
Te1 0.0000 0.0000 0.5043  6 Be 2.44-2.72, 4 Co 2.62



Entry 7:
Here is an optimized crystal structure of Be2CoTe from Alexandria. Energies are from GGA-PBEsol.

Computed properties:
As for the formation energy without anion corrections: 0.134 eV per atom. Its space group is R3m.

Cell: 6.2207 6.2207 6.2207 Å, 33.44 33.44 33.44°
With the nearest neighbours (Å) after each atom.
Atoms (fractional coordinates):
Be1 0.0000 0.0000 0.0000  3 Be 2.10, 3 Co 2.28
Be2 0.3136 0.3136 0.3136  3 Be 2.10, 3 Co 2.15
Co1 0.6126 0.6126 0.6126  6 Be 2.15-2.28
Te1 0.8592 0.8592 0.8592  1 Be 2.48, 3 Co 2.57



Entry 8:
Here is an optimized crystal structure of TiBe3Co from Alexandria. Energies are from GGA-PBEsol.

Computed properties:
The formation energy comes out at 1.994 eV/atom. Its space group is Pm-3m.

Cell: 4.1657 4.1657 4.1657 Å, 90.00 90.00 90.00°
With the nearest neighbours (Å) after each atom.
Atoms (fractional coordinates):
Ti1 0.0000 0.0000 0.0000  6 Be 2.08
Be1 0.0000 0.0000 0.5000  2 Ti 2.08
Be2 0.0000 0.5000 0.0000  2 Ti 2.08
Be3 0.5000 0.0000 0.0000  2 Ti 2.08
Co1 0.5000 0.5000 0.5000  12 Be 2.95



Entry 9:
Here is an optimized crystal structure of TiBe2Co2 from Alexandria. Energies are from GGA-PBEsol.

Computed properties:
The formation energy comes out at -0.033 eV/atom. Its space group is I4/mmm. For the relative energy among the computed polymorphs, the calculation gives 291 meV per atom.

Cell: 5.2223 5.2223 5.2223 Å, 141.96 141.96 54.89°
With the nearest neighbours (Å) after each atom.
Atoms (fractional coordinates):
Ti1 0.0000 0.0000 0.0000  8 Co 2.64, 8 Be 2.88
Be1 0.2500 0.7500 0.5000  4 Co 2.10
Be2 0.7500 0.2500 0.5000  4 Co 2.10
Co1 0.3835 0.3835 0.0000  4 Be 2.10, 1 Co 2.16
Co2 0.6165 0.6165 0.0000  4 Be 2.10, 1 Co 2.16



Entry 10:
Here is an optimized crystal structure of TiBe2Co2 from Alexandria. Energies are from GGA-PBEsol.

Computed properties:
The formation energy comes out at -0.324 eV/atom. Its space group is P4/mbm. For the relative energy among the computed polymorphs, the calculation gives 0 meV per atom.

Cell: 6.2266 6.2266 2.5648 Å, 90.00 90.00 90.00°
With the nearest neighbours (Å) after each atom.
Atoms (fractional coordinates):
Ti1 0.0000 0.0000 0.0000  4 Be 2.49, 2 Ti 2.56, 8 Co 2.63
Ti2 0.5000 0.5000 0.0000  4 Be 2.49, 2 Ti 2.56, 8 Co 2.63
Be1 0.1187 0.3813 0.0000  1 Be 2.09, 6 Co 2.23-2.25
Be2 0.3813 0.8813 0.0000  1 Be 2.09, 6 Co 2.23-2.25
Be3 0.6187 0.1187 0.0000  1 Be 2.09, 6 Co 2.23-2.25
Be4 0.8813 0.6187 0.0000  1 Be 2.09, 6 Co 2.23-2.25
Co1 0.1740 0.6740 0.5000  6 Be 2.23-2.25
Co2 0.3260 0.1740 0.5000  6 Be 2.23-2.25
Co3 0.6740 0.8260 0.5000  6 Be 2.23-2.25
Co4 0.8260 0.3260 0.5000  6 Be 2.23-2.25



Entry 11:
Here is an optimized crystal structure of Ti2Be2Co from Alexandria. Energies are from GGA-PBEsol.

Computed properties:
The formation energy comes out at -0.189 eV/atom. Its space group is P4/mbm.

Cell: 5.9864 5.9864 3.2397 Å, 90.00 90.00 90.00°
With the nearest neighbours (Å) after each atom.
Atoms (fractional coordinates):
Ti1 0.1761 0.3239 0.0000  6 Be 2.34-2.44
Ti2 0.3239 0.8239 0.0000  6 Be 2.34-2.44
Ti3 0.6761 0.1761 0.0000  6 Be 2.34-2.44
Ti4 0.8239 0.6761 0.0000  6 Be 2.34-2.44
Be1 0.1239 0.6239 0.5000  1 Be 2.10, 2 Ti 2.34
Be2 0.3761 0.1239 0.5000  1 Be 2.10, 2 Ti 2.34
Be3 0.6239 0.8761 0.5000  1 Be 2.10, 2 Ti 2.34
Be4 0.8761 0.3761 0.5000  1 Be 2.10, 2 Ti 2.34
Co1 0.0000 0.0000 0.5000  4 Be 2.37
Co2 0.5000 0.5000 0.5000  4 Be 2.37



Entry 12:
Here is an optimized crystal structure of BeTlCo2 from Alexandria. Energies are from GGA-PBEsol.

Computed properties:
The formation energy comes out at 0.317 eV/atom. Its space group is R-3m. For the relative energy among the computed polymorphs, the calculation gives 37 meV per atom.

Cell: 4.9529 4.9529 4.9529 Å, 44.94 44.94 44.94°
With the nearest neighbours (Å) after each atom.
Atoms (fractional coordinates):
Be1 0.0000 0.0000 0.0000  6 Co 2.22
Tl1 0.5000 0.5000 0.5000  8 Co 2.61-2.85
Co1 0.3040 0.3040 0.3040  3 Be 2.22, 3 Co 2.32
Co2 0.6960 0.6960 0.6960  3 Be 2.22, 3 Co 2.32



no.,D(E_F) (states/eV per cell)
1,6.1
2,6.5
3,2.9
4,4.8
5,3.9
6,2.4
7,1.4
8,8.7
9,3.8
10,7.4
11,7.9
12,4.4